(1)
A plane-wave DFT calculation with PBEsol was carried out for MgNi2Pt after structural relaxation.

V in Å³ per cell: 102
Energy of formation from the pure elements in eV/f.u.: -0.9
DOS at the Fermi energy in states/eV/cell: 8.88
Final energy in eV per atom: -5.48

CIF file:
```
data_MgNi2Pt
_symmetry_space_group_name_H-M 'C m m m'
_symmetry_Int_Tables_number 65
_symmetry_space_group_name_Hall '-C 2 2'
_cell_length_a 5.3483
_cell_length_b 7.0155
_cell_length_c 2.7159
_cell_angle_alpha 90.00
_cell_angle_beta 90.00
_cell_angle_gamma 90.00
loop_
_atom_site_label
_atom_site_fract_x
_atom_site_fract_y
_atom_site_fract_z
Mg1 0.0000 0.0000 0.0000
Ni1 0.2500 0.2500 0.5000
Pt1 0.0000 0.5000 0.0000
```

***

(2)
A plane-wave DFT calculation with PBEsol was carried out for MgNiPt after structural relaxation.

V in Å³ per cell: 83
Energy of formation from the pure elements in eV/f.u.: -0.9
DOS at the Fermi energy in states/eV/cell: 8.64
Final energy in eV per atom: -5.26

CIF file:
```
data_MgNiPt
_symmetry_space_group_name_H-M 'I m m 2'
_symmetry_Int_Tables_number 44
_symmetry_space_group_name_Hall 'I 2 -2'
_cell_length_a 2.7456
_cell_length_b 3.7458
_cell_length_c 8.0793
_cell_angle_alpha 90.00
_cell_angle_beta 90.00
_cell_angle_gamma 90.00
loop_
_atom_site_label
_atom_site_fract_x
_atom_site_fract_y
_atom_site_fract_z
Mg1 0.0000 0.0000 0.0000
Ni1 0.0000 0.0000 0.6697
Pt1 0.0000 0.0000 0.3287
```

***

(3)
A plane-wave DFT calculation with PBEsol was carried out for MgNiTe2Pt after structural relaxation.

V in Å³ per cell: 124
Formation energy from raw total energies in eV/atom: 1.09
DOS at the Fermi energy in states/eV/cell: 6.24
Final energy in eV per atom: -3.29

CIF file:
```
data_MgNiTe2Pt
_symmetry_space_group_name_H-M 'P 4/m m m'
_symmetry_Int_Tables_number 123
_symmetry_space_group_name_Hall '-P 4 2'
_cell_length_a 5.1733
_cell_length_b 5.1733
_cell_length_c 4.6440
_cell_angle_alpha 90.00
_cell_angle_beta 90.00
_cell_angle_gamma 90.00
loop_
_atom_site_label
_atom_site_fract_x
_atom_site_fract_y
_atom_site_fract_z
Mg1 0.0000 0.0000 0.0000
Ni1 0.5000 0.5000 0.5000
Te1 0.0000 0.5000 0.0000
Pt1 0.0000 0.0000 0.5000
```

***

(4)
A plane-wave DFT calculation with PBEsol was carried out for MgRe2Ni after structural relaxation.

V in Å³ per cell: 170
Energy of formation from the pure elements in eV/f.u.: 1.1
DOS at the Fermi energy in states/eV/cell: 9.55
Final energy in eV per atom: -8.35

CIF file:
```
data_MgRe2Ni
_symmetry_space_group_name_H-M 'R -3 m'
_symmetry_Int_Tables_number 166
_symmetry_space_group_name_Hall '-R 3 2"'
_cell_length_a 2.7049
_cell_length_b 2.7049
_cell_length_c 26.8019
_cell_angle_alpha 90.00
_cell_angle_beta 90.00
_cell_angle_gamma 120.00
loop_
_atom_site_label
_atom_site_fract_x
_atom_site_fract_y
_atom_site_fract_z
Mg1 0.0000 0.0000 0.0000
Re1 0.0000 0.0000 0.2435
Ni1 0.0000 0.0000 0.5000
```

***

Look up the V of the second one.
83 Å³ per cell